Entry from Alexandria: a geometry-optimized Mg5Zn structure (GGA-PBEsol).

Geometry as CIF:
```
data_Mg5Zn
_chemical_formula_sum 'Mg10 Zn2'
_space_group_name_H-M_alt 'A m m 2'
_space_group_IT_number 38
_space_group_name_Hall 'A 2 -2'
_cell_length_a 4.9620
_cell_length_b 3.1357
_cell_length_c 15.9605
_cell_angle_alpha 90.00
_cell_angle_beta 90.00
_cell_angle_gamma 90.00
loop_
_atom_site_label
_atom_site_type_symbol
_atom_site_fract_x
_atom_site_fract_y
_atom_site_fract_z
Mg1 Mg 0.0000 0.0000 0.0000
Mg2 Mg 0.0000 0.0000 0.3181
Mg3 Mg 0.5000 0.0000 0.2091
Mg4 Mg 0.5000 0.0000 0.5493
Mg5 Mg 0.5000 0.0000 0.8814
Zn1 Zn 0.0000 0.0000 0.6579
```

The calculation puts the formation enthalpy at 0 K at 0.003 eV/atom. The value obtained for the total magnetic moment is 0.0 μB per cell. As for the calculated total energy: -1.692 eV per atom.

---

Entry from Alexandria: a geometry-optimized Na2AgC structure (GGA-PBEsol).

Geometry as CIF:
```
data_Na2AgC
_chemical_formula_sum 'Na8 Ag4 C4'
_space_group_name_H-M_alt 'I -4 2 d'
_space_group_IT_number 122
_space_group_name_Hall 'I -4 2bw'
_cell_length_a 10.9376
_cell_length_b 10.9376
_cell_length_c 3.8838
_cell_angle_alpha 90.00
_cell_angle_beta 90.00
_cell_angle_gamma 90.00
loop_
_atom_site_label
_atom_site_type_symbol
_atom_site_fract_x
_atom_site_fract_y
_atom_site_fract_z
Na1 Na 0.0076 0.7500 0.1250
Ag1 Ag 0.0000 0.0000 0.0000
C1 C 0.0000 0.0000 0.5000
```

The calculation puts the formation enthalpy at 0 K at 0.890 eV/atom. The value obtained for the total magnetic moment is 0.0 μB per cell. As for the calculated total energy: -3.048 eV per atom.

---

Entry from Alexandria: a geometry-optimized Cd2ReAu structure (GGA-PBEsol).

Geometry as CIF:
```
data_Cd2ReAu
_chemical_formula_sum 'Cd2 Re1 Au1'
_space_group_name_H-M_alt 'P -1'
_space_group_IT_number 2
_space_group_name_Hall '-P 1'
_cell_length_a 2.7841
_cell_length_b 5.0186
_cell_length_c 5.1895
_cell_angle_alpha 99.44
_cell_angle_beta 90.03
_cell_angle_gamma 106.01
loop_
_atom_site_label
_atom_site_type_symbol
_atom_site_fract_x
_atom_site_fract_y
_atom_site_fract_z
Cd1 Cd 0.2498 0.9997 0.2437
Re1 Re 0.5000 0.5000 0.0000
Au1 Au 0.0000 0.5000 0.5000
```

The calculation puts the formation enthalpy at 0 K at 0.445 eV/atom. The excess energy over the best structure of this formula in the dataset is 7.01 kJ per mole of atoms. The value obtained for the total magnetic moment is 0.0 μB per cell. As for the calculated total energy: -4.468 eV per atom.

---

Entry from Alexandria: a geometry-optimized Tb2Al4NiGe2 structure (GGA-PBEsol).

Geometry as CIF:
```
data_Tb2Al4NiGe2
_chemical_formula_sum 'Tb4 Al8 Ni2 Ge4'
_space_group_name_H-M_alt 'I 4/m m m'
_space_group_IT_number 139
_space_group_name_Hall '-I 4 2'
_cell_length_a 4.1061
_cell_length_b 4.1061
_cell_length_c 19.2281
_cell_angle_alpha 90.00
_cell_angle_beta 90.00
_cell_angle_gamma 90.00
loop_
_atom_site_label
_atom_site_type_symbol
_atom_site_fract_x
_atom_site_fract_y
_atom_site_fract_z
Tb1 Tb 0.0000 0.0000 0.1862
Al1 Al 0.0000 0.5000 0.0676
Ni1 Ni 0.0000 0.0000 0.0000
Ge1 Ge 0.0000 0.0000 0.3374
```

The calculation puts the formation enthalpy at 0 K at -0.674 eV/atom. The value obtained for the total magnetic moment is 0.0 μB per cell. As for the calculated total energy: -5.387 eV per atom.